VASP calculation (PBE) on crystalline Sr6Hg2Cl at its relaxed geometry.

- formation energy (no corrections) (eV per formula unit) = -5.78
- crystal system = monoclinic
- total magnetization (μB per cell) = 0.00

abc: 7.4430 8.5593 11.3637
angles: 90.00 88.30 90.00
Closest atoms and distances in Å follow each position.
Fractional positions:
Sr  0.1471  0.0386  0.2459  1 Cl 3.08, 2 Hg 3.31-3.33
Sr  0.1636  0.3286  0.5691  1 Cl 3.17, 2 Hg 3.36-3.42
Sr  0.1611  0.3121  0.9342  1 Cl 3.10, 2 Hg 3.39-3.43
Sr  0.3389  0.8121  0.5658  1 Cl 3.10, 2 Hg 3.39-3.43
Sr  0.3364  0.8286  0.9309  1 Cl 3.17, 2 Hg 3.36-3.42
Sr  0.3529  0.5386  0.2541  1 Cl 3.08, 2 Hg 3.31-3.33
Sr  0.8529  0.9614  0.7541  1 Cl 3.08, 2 Hg 3.31-3.33
Sr  0.8364  0.6714  0.4309  1 Cl 3.17, 2 Hg 3.36-3.42
Sr  0.8389  0.6879  0.0658  1 Cl 3.10, 2 Hg 3.39-3.43
Sr  0.6611  0.1879  0.4342  1 Cl 3.10, 2 Hg 3.39-3.43
Sr  0.6636  0.1714  0.0691  1 Cl 3.17, 2 Hg 3.36-3.42
Sr  0.6471  0.4614  0.7459  1 Cl 3.08, 2 Hg 3.31-3.33
Hg  0.0556  0.6172  0.7588  6 Sr 3.31-3.43
Hg  0.4444  0.1172  0.7412  6 Sr 3.31-3.43
Hg  0.5556  0.8828  0.2588  6 Sr 3.31-3.43
Hg  0.9444  0.3828  0.2412  6 Sr 3.31-3.43
Cl  0.5000  0.5000  0.0000  6 Sr 3.08-3.17
Cl  0.0000  0.0000  0.5000  6 Sr 3.08-3.17